This record from Alexandria via LeMat-Bulk describes a relaxed structure of LiSmDyZn. The functional is PBE.

```
4
Lattice="-1.035 1.013 -3.359 1.449 -3.066 -1.371 -6.462 -3.477 0.944" Properties=species:S:1:pos:R:3 pbc="T T T"
Dy -0.599 -1.460 -2.247
Sm -3.607 -3.079 -1.808
Li -5.584 -3.004 0.815
Zn -2.254 -1.213 0.329
```

Output
ΔH_f (0 K) = -0.12 eV per atom
DFT total energy = -3.247 eV/atom
DOS(E_F) = 4.57 states/eV/f.u.



This record from Alexandria via LeMat-Bulk describes a relaxed structure of K3Pa2S5F2. The functional is PBE.

```
12
Lattice="-1.157 -1.372 -5.053 -1.347 -4.922 1.646 -9.995 6.759 3.299" Properties=species:S:1:pos:R:3 pbc="T T T"
F -5.798 -1.688 -1.059
F -6.702 2.152 0.951
S -3.217 -1.645 1.184
S -9.283 2.109 -1.291
S -3.122 0.130 -2.166
S -1.252 -3.147 -1.704
S -9.378 0.334 2.058
K 0.000 0.000 0.000
K -8.265 -0.896 -0.709
K -4.235 1.360 0.601
Pa -3.737 -2.349 -1.351
Pa -8.762 2.813 1.243
```

Output
ΔE_f (raw) = -1995 meV/atom
DFT total energy = -5.884 eV/atom
DOS(E_F) = 8.64 states/eV/f.u.



This record from Alexandria via LeMat-Bulk describes a relaxed structure of InSiIr3. The functional is PBE.

```
5
Lattice="4.457 0.000 0.000 0.000 4.457 0.000 0.000 0.000 4.457" Properties=species:S:1:pos:R:3 pbc="T T T"
Ir 0.000 2.229 0.000
Ir 2.229 0.000 0.000
Ir 0.000 0.000 2.229
In 2.229 2.229 2.229
Si 0.000 0.000 0.000
```

Output
ΔE_f (raw) = 393 meV/atom
DFT total energy = -6.556 eV/atom
DOS(E_F) = 0.55 states/eV/f.u.



This record from Alexandria via LeMat-Bulk describes a relaxed structure of Pm2HfTe2N2. The functional is PBE.

```
7
Lattice="-3.634 0.518 2.159 0.526 -3.822 1.802 5.860 5.256 4.404" Properties=species:S:1:pos:R:3 pbc="T T T"
Pm -0.705 -0.942 3.239
Pm 3.458 2.893 5.126
N -1.817 0.259 1.079
N 0.263 -1.911 0.901
Te 1.521 1.273 2.256
Te 1.231 0.678 6.110
Hf 0.000 0.000 0.000
```

Output
ΔE_f (raw) = -1492 meV/atom
DFT total energy = -7.547 eV/atom



This record from Alexandria via LeMat-Bulk describes a relaxed structure of Rb2TlSnAu. The functional is PBE.

```
5
Lattice="6.597 0.000 0.000 0.000 6.597 0.000 0.000 0.000 5.171" Properties=species:S:1:pos:R:3 pbc="T T T"
Rb 3.299 0.000 0.000
Rb 0.000 3.299 0.000
Au 0.000 0.000 0.000
Tl 3.299 3.299 2.585
Sn 0.000 0.000 2.585
```

Output
ΔH_f (0 K) = -0.02 eV per atom
DFT total energy = -2.339 eV/atom
DOS(E_F) = 2.96 states/eV/f.u.



This record from Alexandria via LeMat-Bulk describes a relaxed structure of HfGa2Tc. The functional is PBE.

```
16
Lattice="3.542 0.000 0.000 0.000 7.099 0.000 0.000 0.000 10.570" Properties=species:S:1:pos:R:3 pbc="T T T"
Tc 2.657 6.725 6.403
Tc 0.886 3.924 1.118
Tc 2.657 3.175 9.452
Tc 0.886 0.374 4.167
Ga 2.657 0.351 8.939
Ga 2.657 5.528 0.178
Ga 0.886 1.571 10.392
Ga 0.886 5.121 5.464
Ga 0.886 3.199 3.654
Ga 2.657 3.900 6.916
Ga 0.886 6.749 1.631
Ga 2.657 1.978 5.107
Hf 2.657 1.835 2.046
Hf 2.657 5.384 3.239
Hf 0.886 1.715 7.331
Hf 0.886 5.265 8.524
```

Output
ΔH_f (0 K) = -0.35 eV per atom
DFT total energy = -6.940 eV/atom
DOS(E_F) = 3.05 states/eV/f.u.



This record from Alexandria via LeMat-Bulk describes a relaxed structure of CrAu2Se. The functional is PBE.

```
4
Lattice="-0.556 3.244 5.431 -5.230 1.910 3.055 3.611 -4.560 -2.549" Properties=species:S:1:pos:R:3 pbc="T T T"
Se -2.637 0.303 2.932
Au -0.171 0.152 0.251
Au 0.488 0.267 2.964
Cr -2.749 2.449 4.032
```

Output
ΔE_f (raw) = 135 meV/atom
DFT total energy = -4.781 eV/atom
DOS(E_F) = 3.02 states/eV/f.u.



This record from Alexandria via LeMat-Bulk describes a relaxed structure of Cu2ReAu. The functional is PBE.

```
4
Lattice="-2.472 0.340 0.932 -1.749 -2.567 -3.703 0.404 -3.857 2.482" Properties=species:S:1:pos:R:3 pbc="T T T"
Cu 0.000 0.000 0.000
Cu -2.110 -1.113 -1.386
Re -1.034 -1.758 1.707
Au -0.672 -3.212 -0.610
```

Output
ΔH_f (0 K) = 0.45 eV per atom
DFT total energy = -5.531 eV/atom
DOS(E_F) = 1.80 states/eV/f.u.



This record from Alexandria via LeMat-Bulk describes a relaxed structure of RuRh2SBr. The functional is PBE.

```
5
Lattice="-0.028 0.385 4.265 2.123 -3.703 0.349 4.878 2.776 -0.218" Properties=species:S:1:pos:R:3 pbc="T T T"
Rh -0.014 0.193 2.132
Rh 1.061 -1.851 0.174
Br 2.439 1.388 -0.109
Ru 3.486 -0.271 2.198
S 0.000 0.000 0.000
```

Output
ΔE_f (raw) = 1013 meV/atom
DFT total energy = -4.943 eV/atom
DOS(E_F) = 8.93 states/eV/f.u.



This record from Alexandria via LeMat-Bulk describes a relaxed structure of LiLaNiGe2. The functional is PBE.

```
5
Lattice="-3.085 -2.432 1.609 -1.565 -0.594 -3.901 5.266 -2.584 0.590" Properties=species:S:1:pos:R:3 pbc="T T T"
Ni -0.072 -3.265 0.526
La 0.000 0.000 0.000
Li 0.688 -2.346 -2.228
Ge 2.199 -3.063 -0.416
Ge -1.582 -2.548 -1.286
```

Output
ΔH_f (0 K) = -0.64 eV per atom
DFT total energy = -5.012 eV/atom
DOS(E_F) = 3.29 states/eV/f.u.



This record from Alexandria via LeMat-Bulk describes a relaxed structure of KNa2Tl10. The functional is PBE.

```
13
Lattice="-3.441 5.608 0.070 -2.360 2.312 7.992 4.942 6.881 0.823" Properties=species:S:1:pos:R:3 pbc="T T T"
Tl 1.634 8.692 2.440
Tl -2.493 6.110 6.444
Tl -0.415 3.581 1.960
Tl -1.094 10.865 3.450
Tl -0.444 11.220 6.924
Tl 0.751 6.245 0.446
Tl -1.302 6.881 3.187
Tl 0.235 3.936 5.434
Tl 0.442 7.920 5.697
Tl 2.471 3.441 0.411
Na -2.900 3.960 4.031
Na -1.180 1.156 3.996
K 0.000 0.000 0.000
```

Output
ΔH_f (0 K) = -0.04 eV per atom
DFT total energy = -2.148 eV/atom
DOS(E_F) = 7.99 states/eV/f.u.



This record from Alexandria via LeMat-Bulk describes a relaxed structure of CaCuSi2Au. The functional is PBE.

```
5
Lattice="4.185 0.000 0.000 0.000 4.185 0.000 -2.093 -2.093 5.094" Properties=species:S:1:pos:R:3 pbc="T T T"
Cu 2.093 0.000 2.547
Au 0.000 2.093 2.547
Si 2.093 2.093 1.161
Si 0.000 0.000 3.933
Ca 0.000 0.000 0.000
```

Output
ΔE_f (raw) = -439 meV/atom
DFT total energy = -4.483 eV/atom
DOS(E_F) = 1.91 states/eV/f.u.



This record from Alexandria via LeMat-Bulk describes a relaxed structure of Ce4GeTe. The functional is PBE.

```
12
Lattice="-2.796 4.886 0.459 -2.532 -1.875 4.543 10.523 2.570 1.999" Properties=species:S:1:pos:R:3 pbc="T T T"
Te -1.333 0.754 1.251
Te -3.996 2.257 3.751
Ge 3.863 3.728 1.229
Ge 3.996 0.347 3.271
Ce 6.425 1.872 1.831
Ce -1.241 0.497 4.510
Ce 1.435 2.203 2.669
Ce 6.436 5.083 2.491
Ce 3.760 3.378 4.332
Ce -1.230 3.708 5.170
Ce 6.569 1.700 4.533
Ce -1.375 3.880 2.468
```

Output
ΔE_f (raw) = -578 meV/atom
DFT total energy = -5.827 eV/atom
DOS(E_F) = 16.31 states/eV/f.u.



This record from Alexandria via LeMat-Bulk describes a relaxed structure of Er6In2C. The functional is PBE.

```
9
Lattice="5.937 0.003 3.426 1.977 5.598 3.426 0.001 0.001 6.855" Properties=species:S:1:pos:R:3 pbc="T T T"
Er 2.987 4.174 5.172
Er 4.930 1.429 5.172
Er 4.928 1.427 8.536
Er 2.016 1.427 6.851
Er 5.899 4.175 6.856
Er 2.985 4.173 8.536
In 1.979 1.400 3.426
In 5.936 4.201 10.281
C 3.957 2.801 6.854
```

Output
ΔH_f (0 K) = -0.42 eV per atom
DFT total energy = -5.094 eV/atom
DOS(E_F) = 6.54 states/eV/f.u.



This record from Alexandria via LeMat-Bulk describes a relaxed structure of La4Tb11Er9. The functional is PBE.

```
24
Lattice="3.700 0.000 0.000 0.000 13.920 -5.862 0.000 0.080 15.104" Properties=species:S:1:pos:R:3 pbc="T T T"
Er 1.850 2.303 8.662
Er 1.850 11.698 0.580
Er 1.850 8.870 -1.287
Er 1.850 7.000 4.621
Er 1.850 13.078 6.445
Er 1.850 11.066 9.493
Er 1.850 2.934 -0.251
Er 1.850 5.130 10.529
Er 1.850 0.922 2.797
Tb 0.000 8.898 1.745
Tb 0.000 5.669 -1.716
Tb 0.000 10.009 6.607
Tb 0.000 8.331 10.958
Tb 0.000 13.351 3.354
Tb 0.000 0.650 5.887
Tb 0.000 2.276 11.777
Tb 0.000 0.000 0.000
Tb 0.000 5.102 7.497
Tb 0.000 3.991 2.635
Tb 0.000 11.724 -2.535
La 1.850 10.543 3.945
La 1.850 6.230 1.098
La 1.850 3.458 5.297
La 1.850 7.770 8.144
```

Output
ΔH_f (0 K) = 0.08 eV per atom
DFT total energy = -4.579 eV/atom
DOS(E_F) = 30.25 states/eV/f.u.



This record from Alexandria via LeMat-Bulk describes a relaxed structure of CeH9Ru2. The functional is PBE.

```
24
Lattice="-2.539 4.022 1.887 -6.284 -0.932 0.468 -0.558 -0.074 6.346" Properties=species:S:1:pos:R:3 pbc="T T T"
H -1.622 1.004 4.935
H -5.326 2.513 4.822
H -4.912 -0.586 6.197
H -6.069 -0.666 2.510
H -3.276 2.587 5.105
H -5.945 2.289 6.785
H -2.310 2.454 3.219
H -2.607 -0.148 6.063
H 0.000 0.000 0.000
H -3.622 2.258 1.873
H -3.015 0.059 1.603
H -6.223 -0.782 4.851
H -1.704 0.256 2.949
H -7.256 2.093 5.439
H -4.262 1.435 6.233
H -5.084 0.485 1.382
H -6.526 1.096 3.909
H -5.541 2.247 2.781
Ce -4.056 0.502 3.879
Ce -1.270 2.011 0.944
Ru -4.211 3.230 6.528
Ru -7.075 2.801 3.589
Ru -6.084 0.753 5.818
Ru -3.932 3.268 3.355
```

Output
DFT total energy = -4.473 eV/atom
DOS(E_F) = 6.05 states/eV/f.u.



This record from Alexandria via LeMat-Bulk describes a relaxed structure of YGaNi2Br. The functional is PBE.

```
5
Lattice="4.423 0.000 0.000 0.000 5.649 0.000 0.000 0.000 4.423" Properties=species:S:1:pos:R:3 pbc="T T T"
Br 2.212 2.824 2.212
Ni 2.212 0.000 0.000
Ni 0.000 0.000 2.212
Ga 0.000 0.000 0.000
Y 0.000 2.824 0.000
```

Output
ΔE_f (raw) = 127 meV/atom
DFT total energy = -4.419 eV/atom
DOS(E_F) = 4.01 states/eV/f.u.



This record from Alexandria via LeMat-Bulk describes a relaxed structure of MgCdGaPt. The functional is PBE.

```
4
Lattice="-2.732 0.546 3.668 -4.573 -0.267 -0.475 -2.288 -3.606 1.725" Properties=species:S:1:pos:R:3 pbc="T T T"
Pt -7.195 -2.495 3.689
Mg 0.000 0.000 0.000
Cd -2.398 -0.832 1.230
Ga -4.796 -1.664 2.459
```

Output
ΔH_f (0 K) = -0.35 eV per atom
DFT total energy = -3.240 eV/atom
DOS(E_F) = 1.81 states/eV/f.u.



This record from Alexandria via LeMat-Bulk describes a relaxed structure of Ac2TbPrSe4. The functional is PBE.

```
8
Lattice="4.239 0.000 0.000 0.000 7.411 0.146 0.000 -2.575 7.226" Properties=species:S:1:pos:R:3 pbc="T T T"
Pr 2.119 3.706 0.073
Se 2.119 3.679 5.699
Se 0.000 4.971 1.786
Se 2.119 1.157 1.673
Se 0.000 -0.135 5.586
Ac 2.119 -1.288 3.613
Ac 0.000 2.418 3.686
Tb 0.000 0.000 0.000
```

Output
ΔE_f (raw) = -1826 meV/atom
DFT total energy = -5.772 eV/atom
DOS(E_F) = 4.60 states/eV/f.u.



This record from Alexandria via LeMat-Bulk describes a relaxed structure of LaSnB2As. The functional is PBE.

```
5
Lattice="-2.273 4.082 1.156 -4.048 -3.208 3.371 2.832 0.484 3.862" Properties=species:S:1:pos:R:3 pbc="T T T"
La 0.000 0.000 0.000
B -1.136 2.041 0.578
B 1.416 0.242 1.931
As -1.745 0.679 4.194
Sn -2.024 -1.604 1.685
```

Output
ΔH_f (0 K) = 1.88 eV per atom
DFT total energy = -3.505 eV/atom
DOS(E_F) = 4.67 states/eV/f.u.